# HoEr2TmGa4 (PBE-GGA, relaxed)
data_HoEr2TmGa4
_chemical_formula_sum 'Ho1 Er2 Tm1 Ga4'
_cell_length_a 6.565
_cell_length_b 6.884
_cell_length_c 6.884
_cell_angle_alpha 36.48
_cell_angle_beta 90.00
_cell_angle_gamma 90.00
_symmetry_space_group_name_H-M 'P 1'
_symmetry_Int_Tables_number 1
_symmetry_space_group_name_Hall 'P 1'
loop_
_atom_site_label
_atom_site_type_symbol
_atom_site_fract_x
_atom_site_fract_y
_atom_site_fract_z
Ho1 Ho 0.000 0.000 0.000
Er1 Er 0.000 0.276 0.276
Er2 Er 0.500 0.172 0.172
Tm1 Tm 0.500 0.447 0.447
Ga1 Ga 0.198 0.625 0.625
Ga2 Ga 0.303 0.822 0.822
Ga3 Ga 0.697 0.822 0.822
Ga4 Ga 0.802 0.625 0.625
# M_tot in μB per formula unit: 0.010
# E_tot in eV/atom: -4.414